1.
The following is a PBE-GGA calculation of a relaxed ScMoBr crystal, from Alexandria.

Lattice parameters (Å, degrees): 6.5054 6.5054 6.5054 152.31 152.31 39.56
Closest atoms and distances in Å follow each position.
Fractional coordinates of all 3 atoms:
1 Br 0.9981 0.9981 0.0000  4 Mo 3.03, 4 Sc 3.07, 4 Br 3.11
2 Mo 0.3286 0.3286 0.0000  4 Sc 2.91, 4 Br 3.03, 4 Mo 3.11
3 Sc 0.6733 0.6733 0.0000  4 Mo 2.91, 4 Br 3.07, 4 Sc 3.11

Output
crystal system	tetragonal
formation energy from raw total energies	0.221	eV/atom
ΔE to the lowest computed polymorph	0.110	eV per atom

2.
The following is a PBE-GGA calculation of a relaxed ScMo3Br crystal, from Alexandria.

Lattice parameters (Å, degrees): 4.7494 4.7494 4.7494 90.00 90.00 90.00
Closest atoms and distances in Å follow each position.
Fractional coordinates of all 5 atoms:
1 Sc 0.0000 0.0000 0.0000  6 Mo 2.37
2 Mo 0.0000 0.5000 0.0000  2 Sc 2.37
3 Mo 0.0000 0.0000 0.5000  2 Sc 2.37
4 Mo 0.5000 0.0000 0.0000  2 Sc 2.37
5 Br 0.5000 0.5000 0.5000  12 Mo 3.36

Output
crystal system	cubic
formation energy from raw total energies	2.248	eV/atom
ΔE to the lowest computed polymorph	1.053	eV per atom

3.
The following is a PBE-GGA calculation of a relaxed ScMoBr crystal, from Alexandria.

Lattice parameters (Å, degrees): 7.1685 6.9307 3.1310 81.45 72.96 25.59
Closest atoms and distances in Å follow each position.
Fractional coordinates of all 3 atoms:
1 Br 0.0122 0.0122 0.9878  2 Sc 2.75
2 Mo 0.3201 0.3201 0.6799  2 Sc 2.72
3 Sc 0.6677 0.6677 0.3323  2 Mo 2.72, 2 Br 2.75

Output
crystal system	orthorhombic
formation energy from raw total energies	0.187	eV/atom
ΔE to the lowest computed polymorph	0.076	eV per atom

4.
The following is a PBE-GGA calculation of a relaxed ScMoBr crystal, from Alexandria.

Lattice parameters (Å, degrees): 3.2209 3.2209 7.2471 90.00 90.00 120.00
Closest atoms and distances in Å follow each position.
Fractional coordinates of all 3 atoms:
1 Br 0.0000 0.0000 0.9460  3 Sc 2.71
2 Mo 0.6667 0.3333 0.3794  3 Sc 2.83
3 Sc 0.3333 0.6667 0.6746  3 Br 2.71, 3 Mo 2.83

Output
crystal system	trigonal
formation energy from raw total energies	0.111	eV/atom
ΔE to the lowest computed polymorph	0.000	eV per atom

| no. | VASP energy (Ry per atom) |
| --- | --- |
| 1 | -0.445 |
| 2 | -0.430 |
| 3 | -0.448 |
| 4 | -0.453 |